Record 1
DFT (PBE-GGA) results for a relaxed SnAsSe2N crystal. Values from VASP.

**Magnetization**: 0.00 μB per formula unit
**Raw formation energy**: 21.93 kcal/mol of atoms
**ΔE to the lowest computed polymorph**: 0.4004 eV per atom
**E_tot**: -19.19 eV per cell

The structure in Quantum ESPRESSO input format:
```
&SYSTEM
  ibrav = 0, nat = 5, ntyp = 4
/
ATOMIC_SPECIES
Sn 118.71 Sn.upf
As 74.92 As.upf
Se 78.96 Se.upf
N 14.01 N.upf
CELL_PARAMETERS angstrom
5.3756 0.0000 0.0000
0.0000 5.3756 0.0000
0.0000 0.0000 3.9148
ATOMIC_POSITIONS angstrom
Sn 0.0000 0.0000 0.0000
As 2.6878 2.6878 1.9574
Se 0.0000 2.6878 0.0000
Se 2.6878 0.0000 0.0000
N 0.0000 0.0000 1.9574
```

Record 2
DFT (PBE-GGA) results for a relaxed K3CdTe3 crystal. Values from VASP.

**Magnetization**: 0.00 μB per formula unit
**Raw formation energy**: -18.75 kcal/mol of atoms
**E_tot**: -38.65 eV per cell

The structure in Quantum ESPRESSO input format:
```
&SYSTEM
  ibrav = 0, nat = 14, ntyp = 3
/
ATOMIC_SPECIES
K 39.10 K.upf
Cd 112.41 Cd.upf
Te 127.60 Te.upf
CELL_PARAMETERS angstrom
6.8733 -2.4200 0.0000
6.8733 2.4200 0.0000
-5.0002 0.0000 16.2537
ATOMIC_POSITIONS angstrom
K -0.6186 0.0000 3.6018
K 2.1928 0.0000 1.3369
K 3.6069 0.0000 6.2463
K 5.1396 0.0000 10.0074
K 6.5537 0.0000 14.9168
K 9.3651 0.0000 12.6519
Cd 0.9416 0.0000 9.7470
Cd 7.8048 0.0000 6.5067
Te -0.6196 0.0000 7.1817
Te -0.4497 0.0000 12.1711
Te 5.8430 0.0000 0.9549
Te 2.9035 0.0000 15.2988
Te 9.1962 0.0000 4.0826
Te 9.3660 0.0000 9.0720
```

Record 3
DFT (PBE-GGA) results for a relaxed AgAs2Au2 crystal. Values from VASP.

**Magnetization**: 0.00 μB per formula unit
**Calculated formation energy**: 0.22 eV/atom
**ΔE to the lowest computed polymorph**: 0.0072 eV per atom
**E_tot**: -17.60 eV per cell

The structure in Quantum ESPRESSO input format:
```
&SYSTEM
  ibrav = 0, nat = 5, ntyp = 3
/
ATOMIC_SPECIES
Ag 107.87 Ag.upf
As 74.92 As.upf
Au 196.97 Au.upf
CELL_PARAMETERS angstrom
-1.9262 1.9262 6.8175
1.9262 -1.9262 6.8175
1.9262 1.9262 -6.8175
ATOMIC_POSITIONS angstrom
Ag 0.0000 0.0000 0.0000
As 1.9262 0.0000 3.4088
As 0.0000 1.9262 3.4088
Au 0.0000 0.0000 5.4868
Au 0.0000 0.0000 8.1482
```

Record 4
DFT (PBE-GGA) results for a relaxed Tb3Y2Au2 crystal. Values from VASP.

**Magnetization**: 0.00 μB per formula unit
**Calculated formation energy**: -0.50 eV/atom
**E_tot**: -36.90 eV per cell

The structure in Quantum ESPRESSO input format:
```
&SYSTEM
  ibrav = 0, nat = 7, ntyp = 3
/
ATOMIC_SPECIES
Tb 158.93 Tb.upf
Y 88.91 Y.upf
Au 196.97 Au.upf
CELL_PARAMETERS angstrom
6.3114 -1.8763 0.0000
6.3114 1.8763 0.0000
-3.9420 0.0000 8.2844
ATOMIC_POSITIONS angstrom
Tb 0.0000 0.0000 0.0000
Tb -0.3138 0.0000 3.6836
Tb 8.9946 0.0000 4.6008
Y 3.6659 0.0000 1.5636
Y 5.0149 0.0000 6.7208
Au 1.1156 0.0000 6.3959
Au 7.5651 0.0000 1.8885
```

Record 5
DFT (PBE-GGA) results for a relaxed YRu4 crystal. Values from VASP.

**Magnetization**: 0.00 μB per formula unit
**Calculated formation energy**: 0.17 eV/atom
**ΔE to the lowest computed polymorph**: 0.0000 eV per atom
**E_tot**: -42.74 eV per cell

The structure in Quantum ESPRESSO input format:
```
&SYSTEM
  ibrav = 0, nat = 5, ntyp = 2
/
ATOMIC_SPECIES
Y 88.91 Y.upf
Ru 101.07 Ru.upf
CELL_PARAMETERS angstrom
-3.2112 3.2112 1.9711
3.2112 -3.2112 1.9711
3.2112 3.2112 -1.9711
ATOMIC_POSITIONS angstrom
Y 0.0000 0.0000 0.0000
Ru 2.6322 1.1583 0.0000
Ru 2.0529 -0.5790 1.9711
Ru 1.1583 3.7901 0.0000
Ru 0.5790 2.0529 1.9711
```

Record 6
DFT (PBE-GGA) results for a relaxed GdLuNiPb crystal. Values from VASP.

**Magnetization**: 7.15 μB per formula unit
**Calculated formation energy**: -0.30 eV/atom
**E_tot**: -29.29 eV per cell

The structure in Quantum ESPRESSO input format:
```
&SYSTEM
  ibrav = 0, nat = 4, ntyp = 4
/
ATOMIC_SPECIES
Gd 157.25 Gd.upf
Lu 174.97 Lu.upf
Ni 58.69 Ni.upf
Pb 207.20 Pb.upf
CELL_PARAMETERS angstrom
0.0000 3.6241 3.6241
3.6241 0.0000 3.6241
3.6241 3.6241 0.0000
ATOMIC_POSITIONS angstrom
Gd 0.0000 0.0000 0.0000
Lu 3.6241 3.6241 3.6241
Ni 5.4361 5.4361 5.4361
Pb 1.8120 1.8120 1.8120
```

Record 7
DFT (PBE-GGA) results for a relaxed ReBiAu2N crystal. Values from VASP.

**Magnetization**: 2.46 μB per formula unit
**Raw formation energy**: 31.71 kcal/mol of atoms
**E_tot**: -24.33 eV per cell

The structure in Quantum ESPRESSO input format:
```
&SYSTEM
  ibrav = 0, nat = 5, ntyp = 4
/
ATOMIC_SPECIES
Re 186.21 Re.upf
Bi 208.98 Bi.upf
Au 196.97 Au.upf
N 14.01 N.upf
CELL_PARAMETERS angstrom
4.2972 0.0000 0.0000
0.0000 4.2972 0.0000
0.0000 0.0000 4.9622
ATOMIC_POSITIONS angstrom
Re 0.0000 0.0000 0.0000
Bi 2.1486 2.1486 0.0000
Au 0.0000 2.1486 2.4811
Au 2.1486 0.0000 2.4811
N 2.1486 2.1486 2.4811
```

Record 8
DFT (PBE-GGA) results for a relaxed Rb2MgCuAs2 crystal. Values from VASP.

**Magnetization**: 0.00 μB per formula unit
**Calculated formation energy**: -0.37 eV/atom
**E_tot**: -38.31 eV per cell

The structure in Quantum ESPRESSO input format:
```
&SYSTEM
  ibrav = 0, nat = 12, ntyp = 4
/
ATOMIC_SPECIES
Rb 85.47 Rb.upf
Mg 24.30 Mg.upf
Cu 63.55 Cu.upf
As 74.92 As.upf
CELL_PARAMETERS angstrom
-3.1568 8.3072 3.2071
3.1568 -8.3072 3.2071
3.1568 8.3072 -3.2071
ATOMIC_POSITIONS angstrom
Rb 1.5581 2.8360 0.0000
Rb 1.5581 -2.8360 3.2071
Rb 1.5987 11.1431 0.0000
Rb 1.5987 5.4712 3.2071
Mg 3.1568 0.0000 1.6035
Mg 0.0000 8.3072 1.6035
Cu 0.0000 0.0000 1.6035
Cu 0.0000 0.0000 4.8106
As 4.8562 1.3721 0.0000
As 1.6994 6.9351 0.0000
As 1.4574 1.3721 3.2071
As -1.6994 6.9351 3.2071
```

Record 9
DFT (PBE-GGA) results for a relaxed Cd4Pd2Au crystal. Values from VASP.

**Magnetization**: 0.00 μB per formula unit
**Calculated formation energy**: -0.18 eV/atom
**ΔE to the lowest computed polymorph**: 0.0967 eV per atom
**E_tot**: -37.21 eV per cell

The structure in Quantum ESPRESSO input format:
```
&SYSTEM
  ibrav = 0, nat = 14, ntyp = 3
/
ATOMIC_SPECIES
Cd 112.41 Cd.upf
Pd 106.42 Pd.upf
Au 196.97 Au.upf
CELL_PARAMETERS angstrom
7.1261 0.0000 0.0000
0.0000 5.8998 0.0000
-3.2394 0.0000 6.5785
ATOMIC_POSITIONS angstrom
Cd 0.4109 0.0051 1.9744
Cd 0.4109 2.9448 1.9744
Cd -1.3430 1.4750 6.1803
Cd -1.2055 4.4249 5.9531
Cd 5.0922 1.4750 0.6254
Cd 5.2297 4.4249 0.3983
Cd 3.4758 2.9550 4.6041
Cd 3.4758 5.8947 4.6041
Pd -1.6050 1.4750 3.3747
Pd 1.0492 4.4249 4.3715
Pd 2.8375 1.4750 2.2071
Pd 5.4917 4.4249 3.2039
Au 0.9766 1.4750 4.5293
Au 2.9101 4.4249 2.0493
```

Record 10
DFT (PBE-GGA) results for a relaxed InFeCo crystal. Values from VASP.

**Magnetization**: 3.44 μB per formula unit
**Calculated formation energy**: 0.38 eV/atom
**ΔE to the lowest computed polymorph**: 0.2475 eV per atom
**E_tot**: -17.17 eV per cell

The structure in Quantum ESPRESSO input format:
```
&SYSTEM
  ibrav = 0, nat = 3, ntyp = 3
/
ATOMIC_SPECIES
In 114.82 In.upf
Fe 55.84 Fe.upf
Co 58.93 Co.upf
CELL_PARAMETERS angstrom
0.0000 2.9163 2.9163
2.9163 0.0000 2.9163
2.9163 2.9163 0.0000
ATOMIC_POSITIONS angstrom
In 0.0000 0.0000 0.0000
Fe 2.9163 2.9163 2.9163
Co 4.3745 4.3745 4.3745
```

Record 11
DFT (PBE-GGA) results for a relaxed YNi2 crystal. Values from VASP.

**Magnetization**: 0.00 μB per formula unit
**Calculated formation energy**: -0.42 eV/atom
**E_tot**: -38.56 eV per cell

The structure in Quantum ESPRESSO input format:
```
&SYSTEM
  ibrav = 0, nat = 6, ntyp = 2
/
ATOMIC_SPECIES
Y 88.91 Y.upf
Ni 58.69 Ni.upf
CELL_PARAMETERS angstrom
0.0000 3.5962 3.5962
3.5962 0.0000 3.5962
3.5962 3.5962 0.0000
ATOMIC_POSITIONS angstrom
Y 0.8990 0.8990 0.8990
Y 6.2933 6.2933 6.2933
Ni 3.5962 1.7981 1.7981
Ni 1.7981 3.5962 1.7981
Ni 1.7981 1.7981 3.5962
Ni 3.5962 3.5962 3.5962
```

Record 12
DFT (PBE-GGA) results for a relaxed RePt3 crystal. Values from VASP.

**Magnetization**: 0.00 μB per formula unit
**Calculated formation energy**: -0.04 eV/atom
**E_tot**: -61.45 eV per cell

The structure in Quantum ESPRESSO input format:
```
&SYSTEM
  ibrav = 0, nat = 8, ntyp = 2
/
ATOMIC_SPECIES
Re 186.21 Re.upf
Pt 195.08 Pt.upf
CELL_PARAMETERS angstrom
4.6039 0.0000 0.0000
0.0000 5.5228 0.0000
0.0000 0.0000 4.8402
ATOMIC_POSITIONS angstrom
Re 1.1510 1.3807 0.8066
Re 3.4529 4.1421 4.0336
Pt 1.1510 2.7657 3.1979
Pt 1.1510 4.1421 0.6853
Pt 1.1510 5.5185 3.1979
Pt 3.4529 0.0043 1.6423
Pt 3.4529 1.3807 4.1549
Pt 3.4529 2.7571 1.6423
```

Record 13
DFT (PBE-GGA) results for a relaxed Dy6In2Sn crystal. Values from VASP.

**Magnetization**: 0.00 μB per formula unit
**Calculated formation energy**: -0.20 eV/atom
**E_tot**: -38.88 eV per cell

The structure in Quantum ESPRESSO input format:
```
&SYSTEM
  ibrav = 0, nat = 9, ntyp = 3
/
ATOMIC_SPECIES
Dy 162.50 Dy.upf
In 114.82 In.upf
Sn 118.71 Sn.upf
CELL_PARAMETERS angstrom
-2.5831 3.6517 7.7499
2.5831 -3.6517 7.7499
2.5831 3.6517 -7.7499
ATOMIC_POSITIONS angstrom
Dy 2.5831 1.8182 -2.5973
Dy 0.0000 1.8109 0.0000
Dy 2.5831 1.8182 2.5973
Dy 0.0000 1.8334 5.1526
Dy 0.0000 5.4925 0.0000
Dy 0.0000 1.8334 10.3472
In 0.0000 0.0000 2.5784
In 0.0000 0.0000 12.9215
Sn 0.0000 0.0000 7.7499
```